A plane-wave DFT calculation with PBE with a Hubbard U was carried out for a relaxed NaCr2CdO8 crystal.

Properties
E ... -0.215 hartree per atom
Total magnetization ... 1.10 μB per formula unit

abc: 5.2768 5.2768 7.7771
angles: 70.17 70.17 60.00
Last column: magnetic moment on the atom in μB.
Element x y z (fractional)
Na 0.5000 0.5000 0.5000  0.00
Cr 0.2475 0.2475 0.2574  -0.17
Cr 0.7525 0.7525 0.7426  -0.17
Cd 0.0000 0.0000 0.0000  0.03
O 0.1713 0.1713 0.4860  0.12
O 0.5699 0.2798 0.1845  0.15
O 0.8287 0.8287 0.5140  0.12
O 0.9658 0.5699 0.1845  0.15
O 0.0342 0.4301 0.8155  0.15
O 0.2798 0.9658 0.1845  0.15
O 0.7202 0.0342 0.8155  0.15
O 0.4301 0.7202 0.8155  0.15